[1]
Computed, not measured: crystalline Pm2ZrNpAs4 at its relaxed geometry at the PBE level of DFT.

Output
Magnetic moment: 0.495 μB/atom
DFT total energy: -7.409 eV/atom
ΔH_f (0 K): -27.93 kcal/mol of atoms
DOS(E_F): 11.2 states/eV/f.u.
Calculated density: 7801 kg/m3

a b c (Å): 7.084 4.097 7.127
angles (deg): 90.00 109.15 90.00
Atoms (fractional coordinates):
Pm  0.000  0.000  0.000
Pm  0.500  0.500  0.000
Zr  0.000  0.500  0.500
Np  0.500  0.000  0.500
As  0.238  0.000  0.731
As  0.249  0.500  0.265
As  0.751  0.500  0.735
As  0.762  0.000  0.269

***

[2]
Computed, not measured: crystalline HfScIr2 at its relaxed geometry at the PBE level of DFT.

Output
Distance to the lowest polymorph of the same formula: 0.08 kcal/mol of atoms
Magnetic moment: 0.000 μB/atom
DFT total energy: -9.482 eV/atom
ΔH_f (0 K): -22.60 kcal/mol of atoms
DOS(E_F): 1.6 states/eV/f.u.
Calculated density: 14659 kg/m3

a b c (Å): 4.705 4.705 3.130
angles (deg): 90.00 90.00 96.33
Atoms (fractional coordinates):
Hf  0.000  0.000  0.000
Sc  0.500  0.500  0.000
Ir  0.000  0.500  0.500
Ir  0.500  0.000  0.500

***

[3]
Computed, not measured: crystalline Sr4RhBr at its relaxed geometry at the PBE level of DFT.

Output
Distance to the lowest polymorph of the same formula: 25.22 kcal/mol of atoms
Magnetic moment: 0.000 μB/atom
E_form (uncorrected): 0.4807 eV/atom
DFT total energy: -2.145 eV/atom
DOS(E_F): 6.7 states/eV/f.u.
Calculated density: 3633 kg/m3

a b c (Å): 7.012 7.012 7.012
angles (deg): 60.00 60.00 60.00
Atoms (fractional coordinates):
Sr  0.376  0.376  0.376
Sr  0.376  0.376  0.872
Sr  0.376  0.872  0.376
Sr  0.872  0.376  0.376
Rh  0.750  0.750  0.750
Br  0.000  0.000  0.000